The following is a PBE calculation of an optimized crystal structure of PmHS, from the Open Quantum Materials Database.

a b c (Å): 3.8643 3.8643 3.8296
angles (deg): 90.00 90.00 120.00
Closest atoms and distances in Å follow each position.
Positions (direct):
Pm 0.0000 0.0000 0.0000  3 H 2.23
H 0.3333 0.6667 0.0000  3 Pm 2.23
S 0.6667 0.3333 0.5000  6 Pm 2.94, 6 H 2.94

Values from the calculation:
* M_tot: 0.000 μB/atom
* E_tot: -5.62 eV per atom
* SG: No. 187